A plane-wave DFT calculation with PBE was carried out for a relaxed PmZn2GaNi2 crystal.

Cell: 4.401 4.401 5.645 Å, 90.00 90.00 90.00°
Fractional positions:
Pm1 0.000 0.000 0.500
Ni1 0.000 0.500 0.000
Ni2 0.500 0.000 0.000
Zn1 0.500 0.500 0.748
Zn2 0.500 0.500 0.252
Ga1 0.000 0.000 0.000

Values from the calculation:
* energy: -3.790 eV/atom
* symmetry: No. 123
* E_form: -0.14 eV per atom
* volume: 109.4 Å³/cell
* DOS at the Fermi energy: 3.47 states/eV/cell



A plane-wave DFT calculation with PBE was carried out for a relaxed Cr2H2I crystal.

Cell: 6.254 6.254 3.095 Å, 90.00 90.00 90.00°
Last column: magnetic moment on the atom in μB.
Fractional positions:
Cr1 0.389 0.111 0.500  0.32
Cr2 0.889 0.389 0.500  0.32
Cr3 0.611 0.889 0.500  0.32
Cr4 0.111 0.611 0.500  0.32
H1 0.916 0.584 0.000  -0.01
H2 0.416 0.916 0.000  -0.01
H3 0.084 0.416 0.000  -0.01
H4 0.584 0.084 0.000  -0.01
I1 0.000 0.000 0.000  0.00
I2 0.500 0.500 0.000  0.00

Values from the calculation:
* energy: -4.635 eV/atom
* symmetry: No. 127
* energy above the lowest structure with this stoichiometry: 0.474 eV per atom
* volume: 121.1 Å³/cell
* DOS at the Fermi energy: 6.96 states/eV/cell



A plane-wave DFT calculation with PBE was carried out for a relaxed ZnBiP2S crystal.

Cell: 4.669 4.669 4.762 Å, 90.00 90.00 90.00°
Fractional positions:
P1 0.500 0.000 0.000
P2 0.000 0.500 0.000
S1 0.000 0.000 0.500
Zn1 0.000 0.000 0.000
Bi1 0.500 0.500 0.500

Values from the calculation:
* energy: -3.419 eV/atom
* symmetry: No. 123
* energy above the lowest structure with this stoichiometry: 0.000 eV per atom
* volume: 103.8 Å³/cell
* DOS at the Fermi energy: 4.46 states/eV/cell



Question: Look up the volume of the second one.
Answer: 121.1 Å³/cell



Question: DOS at the Fermi energy of number 2 (Cr2H2I)?
Answer: 6.96 states/eV/cell



Question: Among the records above, which one has the lowest energy?
Answer: Cr2H2I